Entry 1:
A relaxed structure of PPb4Br5. Source: Alexandria, functional PBE.

a b c (Å): 19.4442 4.4003 8.7272
angles (deg): 90.00 105.81 90.00
With the nearest neighbours (Å) after each atom.
Space group C2/m (No. 12)
One atom of each set of equivalent atoms:
1 P 0.0000 0.0000 0.0000 x2  6 Pb 2.89-3.00
2 Pb 0.0014 0.5000 0.2345 x4  2 P 3.00, 4 Br 3.04-3.20
3 Pb 0.1547 0.0000 0.0957 x4  1 P 2.89, 4 Br 3.04-3.10
4 Br 0.0000 0.0000 0.5000 x2  4 Pb 3.20
5 Br 0.1640 0.5000 0.3416 x4  3 Pb 3.04
6 Br 0.1641 0.5000 0.8517 x4  4 Pb 3.10-3.43

Entry 2:
A relaxed structure of P2PbBr2. Source: Alexandria, functional PBE.

a b c (Å): 3.5010 3.5010 24.0990
angles (deg): 90.00 90.00 90.00
With the nearest neighbours (Å) after each atom.
Space group I4/mmm (No. 139)
One atom of each set of equivalent atoms:
1 P 0.0000 0.5000 0.2500 x4  4 P 2.48
2 Pb 0.0000 0.0000 0.0000 x2  8 Br 3.12
3 Br 0.0000 0.0000 0.4213 x4  4 Pb 3.12

Output
* offset from the most stable computed form: 0.000 eV per formula unit

Entry 3:
A relaxed structure of PPb2Br. Source: Alexandria, functional PBE.

a b c (Å): 7.8750 7.8750 8.7926
angles (deg): 90.00 90.00 90.00
With the nearest neighbours (Å) after each atom.
Space group I-42d (No. 122)
One atom of each set of equivalent atoms:
1 P 0.0000 0.0000 0.0000 x4  4 Pb 2.77
2 Pb 0.2036 0.7500 0.1250 x8  2 P 2.77
3 Br 0.0000 0.0000 0.5000 x4  4 Pb 3.25

Output
* offset from the most stable computed form: 0.906 eV per formula unit

Entry 4:
A relaxed structure of PPbBr2. Source: Alexandria, functional PBE.

a b c (Å): 3.5205 6.5490 9.4926
angles (deg): 90.00 90.00 90.00
With the nearest neighbours (Å) after each atom.
Space group Cmmm (No. 65)
One atom of each set of equivalent atoms:
1 P 0.0000 0.0000 0.0000 x2  4 Br 2.60
2 Pb 0.0000 0.0000 0.5000 x2  4 Br 3.33, 6 Pb 3.52-3.72
3 Br 0.0000 0.5000 0.2023 x4  2 P 2.60

Output
* offset from the most stable computed form: 1.665 eV per formula unit

Entry 5:
A relaxed structure of PPbBr2. Source: Alexandria, functional PBE.

a b c (Å): 4.9010 4.9010 19.2748
angles (deg): 90.00 90.00 90.00
With the nearest neighbours (Å) after each atom.
Space group I-42d (No. 122)
One atom of each set of equivalent atoms:
1 P 0.0000 0.0000 0.0000 x4  4 Br 2.91
2 Pb 0.0000 0.0000 0.5000 x4  4 Br 3.03
3 Br 0.2219 0.2500 0.1250 x8  2 P 2.91, 2 Pb 3.03

Output
* offset from the most stable computed form: 1.474 eV per formula unit

Entry 6:
A relaxed structure of PPbBr2. Source: Alexandria, functional PBE.

a b c (Å): 7.6194 7.6194 7.6194
angles (deg): 90.00 90.00 90.00
With the nearest neighbours (Å) after each atom.
Space group Fm-3m (No. 225)
One atom of each set of equivalent atoms:
1 P 0.0000 0.0000 0.0000 x4  8 Br 3.30
2 Pb 0.0000 0.0000 0.5000 x4  8 Br 3.30
3 Br 0.2500 0.2500 0.2500 x8  4 Pb 3.30, 4 P 3.30

Output
* offset from the most stable computed form: 1.921 eV per formula unit

Entry 7:
A relaxed structure of PPb2Br. Source: Alexandria, functional PBE.

a b c (Å): 4.3352 4.3352 11.8061
angles (deg): 90.00 90.00 90.00
With the nearest neighbours (Å) after each atom.
Space group I-4m2 (No. 119)
One atom of each set of equivalent atoms:
1 P 0.0000 0.0000 0.0000 x2  4 Pb 3.07
2 Pb 0.0000 0.0000 0.5000 x2  4 P 3.07
3 Pb 0.0000 0.5000 0.7500 x2  4 Br 3.07
4 Br 0.0000 0.5000 0.2500 x2  4 Pb 3.07

Output
* offset from the most stable computed form: 1.834 eV per formula unit

Entry 8:
A relaxed structure of PPbBr2. Source: Alexandria, functional PBE.

a b c (Å): 4.3528 6.8760 8.7825
angles (deg): 90.00 90.00 90.00
With the nearest neighbours (Å) after each atom.
Space group Cmm2 (No. 35)
One atom of each set of equivalent atoms:
1 P 0.0000 0.0000 0.0000 x2  2 Br 2.45
2 Pb 0.0000 0.5000 0.7612 x2  3 Br 2.94-3.23, 2 P 3.02
3 Br 0.0000 0.0000 0.5354 x2  2 Pb 2.94
4 Br 0.0000 0.5000 0.1289 x2  2 P 2.45

Output
* offset from the most stable computed form: 1.191 eV per formula unit

Entry 9:
A relaxed structure of PPb2Br. Source: Alexandria, functional PBE.

a b c (Å): 4.4498 6.2565 8.3265
angles (deg): 90.00 90.00 90.00
With the nearest neighbours (Å) after each atom.
Space group Immm (No. 71)
One atom of each set of equivalent atoms:
1 P 0.0000 0.0000 0.0000 x2  4 Pb 2.87
2 Pb 0.0000 0.5000 0.2826 x4  2 P 2.87
3 Br 0.0000 0.0000 0.5000 x2  8 Pb 3.24-3.61

Output
* offset from the most stable computed form: 1.206 eV per formula unit

Entry 10:
A relaxed structure of PPb2Br. Source: Alexandria, functional PBE.

a b c (Å): 7.5115 7.5115 7.5115
angles (deg): 90.00 90.00 90.00
With the nearest neighbours (Å) after each atom.
Space group Fm-3m (No. 225)
One atom of each set of equivalent atoms:
1 P 0.0000 0.0000 0.0000 x4  8 Pb 3.25
2 Pb 0.2500 0.2500 0.2500 x8  4 Br 3.25, 4 P 3.25
3 Br 0.0000 0.0000 0.5000 x4  8 Pb 3.25

Output
* offset from the most stable computed form: 1.188 eV per formula unit

Entry 11:
A relaxed structure of PPbBr2. Source: Alexandria, functional PBE.

a b c (Å): 6.7742 9.0549 5.0754
angles (deg): 90.00 131.67 90.00
With the nearest neighbours (Å) after each atom.
Space group C2/m (No. 12)
One atom of each set of equivalent atoms:
1 P 0.0000 0.0000 0.0000 x2  4 Br 2.95
2 Pb 0.0000 0.5000 0.0000 x2  4 Br 2.95
3 Br 0.2500 0.2500 0.5000 x4  2 Pb 2.95, 2 P 2.95

Output
* offset from the most stable computed form: 1.218 eV per formula unit

Entry 12:
A relaxed structure of PPb2Br. Source: Alexandria, functional PBE.

a b c (Å): 7.5109 7.5109 7.5109
angles (deg): 90.00 90.00 90.00
With the nearest neighbours (Å) after each atom.
Space group F-43m (No. 216)
One atom of each set of equivalent atoms:
1 P 0.0000 0.0000 0.0000 x4  4 Pb 3.25, 4 Br 3.25
2 Pb 0.0000 0.0000 0.5000 x4  4 Pb 3.25, 4 Br 3.25
3 Pb 0.2500 0.2500 0.7500 x4  4 Pb 3.25, 4 P 3.25
4 Br 0.2500 0.2500 0.2500 x4  4 Pb 3.25, 4 P 3.25

Output
* offset from the most stable computed form: 2.668 eV per formula unit

Entry 13:
A relaxed structure of PPb2Br. Source: Alexandria, functional PBE.

a b c (Å): 3.8706 4.0543 15.4872
angles (deg): 90.00 90.00 90.00
With the nearest neighbours (Å) after each atom.
Space group Imm2 (No. 44)
One atom of each set of equivalent atoms:
1 P 0.0000 0.0000 0.0000 x2  6 Pb 2.85-3.02
2 Pb 0.0000 0.0000 0.4276 x2  4 P 3.02
3 Pb 0.0000 0.5000 0.6349 x2  2 P 2.85
4 Br 0.0000 0.5000 0.2484 x2  6 Pb 3.31-3.44

Output
* offset from the most stable computed form: 0.625 eV per formula unit

Entry 14:
A relaxed structure of PPbBr2. Source: Alexandria, functional PBE.

a b c (Å): 4.1328 4.1328 8.0464
angles (deg): 90.00 90.00 90.00
With the nearest neighbours (Å) after each atom.
Space group P4mm (No. 99)
One atom of each set of equivalent atoms:
1 P 0.0000 0.0000 0.0000 x1  1 Br 2.23
2 Pb 0.5000 0.5000 0.9487 x1  1 Br 2.64, 4 P 2.95
3 Br 0.0000 0.0000 0.2778 x1  1 P 2.23
4 Br 0.5000 0.5000 0.6202 x1  1 Pb 2.64

Output
* offset from the most stable computed form: 0.000 eV per formula unit

Entry 15:
A relaxed structure of PPb2Br. Source: Alexandria, functional PBE.

a b c (Å): 4.3460 4.3460 6.7180
angles (deg): 90.00 90.00 90.00
With the nearest neighbours (Å) after each atom.
Space group P4mm (No. 99)
One atom of each set of equivalent atoms:
1 P 0.0000 0.0000 0.0000 x1  1 Pb 2.61
2 Pb 0.0000 0.0000 0.3878 x1  1 P 2.61
3 Pb 0.5000 0.5000 0.9545 x1  4 P 3.09, 1 Br 3.22
4 Br 0.5000 0.5000 0.4753 x1  6 Pb 3.13-3.50

Output
* offset from the most stable computed form: 0.758 eV per formula unit

Entry 16:
A relaxed structure of PRu2PbBr. Source: Alexandria, functional PBE.

a b c (Å): 5.2624 5.2624 5.0136
angles (deg): 90.00 90.00 90.00
With the nearest neighbours (Å) after each atom.
Space group P4/mmm (No. 123)
One atom of each set of equivalent atoms:
1 P 0.0000 0.0000 0.0000 x1  2 Pb 2.51
2 Ru 0.0000 0.5000 0.5000 x2  2 Pb 2.63
3 Pb 0.0000 0.0000 0.5000 x1  2 P 2.51, 4 Ru 2.63
4 Br 0.5000 0.5000 0.0000 x1  8 Ru 3.63, 4 P 3.72

Entry 17:
A relaxed structure of PPb6S3Br2. Source: Alexandria, functional PBE.

a b c (Å): 7.7337 13.1624 7.4005
angles (deg): 90.00 109.78 90.00
With the nearest neighbours (Å) after each atom.
Space group C2/m (No. 12)
One atom of each set of equivalent atoms:
1 P 0.0000 0.0000 0.0000 x2  6 Pb 2.93-2.94
2 Pb 0.2158 0.0000 0.7402 x4  2 S 2.90, 1 P 2.94
3 Pb 0.2372 0.1476 0.2680 x8  2 S 2.91, 1 P 2.93, 1 Br 3.26
4 S 0.0000 0.1608 0.5000 x4  4 Pb 2.90-2.91
5 S 0.0000 0.5000 0.5000 x2  6 Pb 2.91-3.26
6 Br 0.0000 0.3304 0.0000 x4  6 Pb 3.26-3.30

Entry 18:
A relaxed structure of Sb2PPbBr. Source: Alexandria, functional PBE.

a b c (Å): 5.9587 5.9587 5.2404
angles (deg): 90.00 90.00 90.00
With the nearest neighbours (Å) after each atom.
Space group P4/mmm (No. 123)
One atom of each set of equivalent atoms:
1 Sb 0.0000 0.5000 0.0000 x2  2 Pb 2.98
2 P 0.0000 0.0000 0.5000 x1  2 Pb 2.62
3 Pb 0.0000 0.0000 0.0000 x1  2 P 2.62
4 Br 0.5000 0.5000 0.5000 x1  8 Sb 3.97, 4 P 4.21

Entry 19:
A relaxed structure of PPbSe2Br. Source: Alexandria, functional PBE.

a b c (Å): 5.5831 5.5831 5.6252
angles (deg): 90.00 90.00 90.00
With the nearest neighbours (Å) after each atom.
Space group P4/mmm (No. 123)
One atom of each set of equivalent atoms:
1 P 0.0000 0.0000 0.0000 x1  4 Br 3.95, 8 Se 3.96
2 Pb 0.5000 0.5000 0.5000 x1  4 Se 2.79, 2 Br 2.81
3 Se 0.0000 0.5000 0.5000 x2  2 Pb 2.79
4 Br 0.5000 0.5000 0.0000 x1  2 Pb 2.81

Output
* offset from the most stable computed form: 4.184 eV per formula unit

Entry 20:
A relaxed structure of PPbSe2Br. Source: Alexandria, functional PBE.

a b c (Å): 5.0100 5.0100 5.0222
angles (deg): 90.00 90.00 90.00
With the nearest neighbours (Å) after each atom.
Space group P4/mmm (No. 123)
One atom of each set of equivalent atoms:
1 P 0.0000 0.0000 0.0000 x1  4 Se 2.51, 2 Br 2.51
2 Pb 0.5000 0.5000 0.5000 x1  4 Br 3.54, 8 Se 3.55
3 Se 0.0000 0.5000 0.0000 x2  2 P 2.51
4 Br 0.0000 0.0000 0.5000 x1  2 P 2.51

Output
* offset from the most stable computed form: 0.000 eV per formula unit

| no. | uncorrected formation energy (eV per atom) |
| --- | --- |
| 1 | -0.678 |
| 2 | -0.086 |
| 3 | -0.125 |
| 4 | 0.211 |
| 5 | 0.163 |
| 6 | 0.275 |
| 7 | 0.107 |
| 8 | 0.093 |
| 9 | -0.050 |
| 10 | -0.054 |
| 11 | 0.099 |
| 12 | 0.316 |
| 13 | -0.195 |
| 14 | -0.205 |
| 15 | -0.162 |
| 16 | 1.893 |
| 17 | -0.431 |
| 18 | 0.998 |
| 19 | 0.827 |
| 20 | -0.010 |